# SmLuZnTc | Alexandria via LeMat-Bulk | GGA-PBE | relaxed
data_SmLuZnTc
_chemical_formula_sum 'Sm4 Lu4 Zn4 Tc4'
_space_group_name_H-M_alt 'F -4 3 m'
_space_group_IT_number 216
_space_group_name_Hall 'F -4 2 3'
_cell_length_a 6.967
_cell_length_b 6.967
_cell_length_c 6.967
_cell_angle_alpha 90.00
_cell_angle_beta 90.00
_cell_angle_gamma 90.00
loop_
_atom_site_label
_atom_site_fract_x
_atom_site_fract_y
_atom_site_fract_z
_atom_site_occupancy
Sm1 0.000 0.000 0.000 1
Lu1 0.000 0.000 0.500 1
Zn1 0.250 0.250 0.750 1
Tc1 0.250 0.250 0.250 1
# Energy of formation from the pure elements, meV/atom: -124
# DFT total energy, eV per atom: -5.344



# CaY4W | Alexandria via LeMat-Bulk | GGA-PBE | relaxed
data_CaY4W
_chemical_formula_sum 'Ca4 Y16 W4'
_space_group_name_H-M_alt 'F -4 3 m'
_space_group_IT_number 216
_space_group_name_Hall 'F -4 2 3'
_cell_length_a 8.970
_cell_length_b 8.970
_cell_length_c 8.970
_cell_angle_alpha 90.00
_cell_angle_beta 90.00
_cell_angle_gamma 90.00
loop_
_atom_site_label
_atom_site_fract_x
_atom_site_fract_y
_atom_site_fract_z
_atom_site_occupancy
Ca1 0.000 0.000 0.000 1
Y1 0.122 0.122 0.378 1
W1 0.250 0.250 0.750 1
# Energy of formation from the pure elements, meV/atom: 907
# DFT total energy, eV per atom: -5.895



# LiAlAgPb | Alexandria via LeMat-Bulk | GGA-PBE | relaxed
data_LiAlAgPb
_chemical_formula_sum 'Li4 Al4 Ag4 Pb4'
_space_group_name_H-M_alt 'F -4 3 m'
_space_group_IT_number 216
_space_group_name_Hall 'F -4 2 3'
_cell_length_a 6.847
_cell_length_b 6.847
_cell_length_c 6.847
_cell_angle_alpha 90.00
_cell_angle_beta 90.00
_cell_angle_gamma 90.00
loop_
_atom_site_label
_atom_site_fract_x
_atom_site_fract_y
_atom_site_fract_z
_atom_site_occupancy
Li1 0.000 0.000 0.000 1
Al1 0.000 0.000 0.500 1
Ag1 0.250 0.250 0.250 1
Pb1 0.250 0.250 0.750 1
# Energy of formation from the pure elements, meV/atom: -13
# DFT total energy, eV per atom: -3.067



# Li2Zn2Os | Alexandria via LeMat-Bulk | GGA-PBE | relaxed
data_Li2Zn2Os
_chemical_formula_sum 'Li4 Zn4 Os2'
_space_group_name_H-M_alt 'P 4/m b m'
_space_group_IT_number 127
_space_group_name_Hall '-P 4 2ab'
_cell_length_a 7.078
_cell_length_b 7.078
_cell_length_c 2.621
_cell_angle_alpha 90.00
_cell_angle_beta 90.00
_cell_angle_gamma 90.00
loop_
_atom_site_label
_atom_site_fract_x
_atom_site_fract_y
_atom_site_fract_z
_atom_site_occupancy
Li1 0.168 0.332 0.000 1
Zn1 0.132 0.632 0.500 1
Os1 0.000 0.000 0.500 1
# Distance to the lowest polymorph of the same formula, meV/atom: 0
# Energy of formation from the pure elements, meV/atom: 133
# DFT total energy, eV per atom: -3.388



Q: What is the energy of formation from the pure elements in the third record?
A: -13 meV/atom



Q: What is the energy of formation from the pure elements in the third record?
A: -13 meV/atom



Q: Look up the energy of formation from the pure elements of the first one.
A: -124 meV/atom



Q: What is the formula in the fourth record?
A: Li2Zn2Os